Model P:
A plane-wave DFT calculation with GGA-PBEsol was carried out for InPPb2 after structural relaxation.

## Properties
DOS(E_F) = 2.298 states/eV/f.u.
Crystal system = monoclinic
Magnetization = 0.000 μB per atom
V = 103.2 Å³/f.u.

```
data_InPPb2
_symmetry_space_group_name_H-M 'C 1 2/m 1'
_symmetry_Int_Tables_number 12
_symmetry_space_group_name_Hall '-C 2y'
_cell_length_a 12.1226
_cell_length_b 3.7724
_cell_length_c 4.9211
_cell_angle_alpha 90.00
_cell_angle_beta 113.45
_cell_angle_gamma 90.00
loop_
_atom_site_label
_atom_site_type_symbol
_atom_site_fract_x
_atom_site_fract_y
_atom_site_fract_z
In1 In 0.0000 0.0000 0.0000
P1 P 0.0000 0.5000 0.5000
Pb1 Pb 0.1961 0.0000 0.6969
```

Model Q:
A plane-wave DFT calculation with GGA-PBEsol was carried out for InPPb2 after structural relaxation.

## Properties
DOS(E_F) = 2.040 states/eV/f.u.
Crystal system = monoclinic
Magnetization = 0.000 μB per atom
V = 102.6 Å³/f.u.

```
data_InPPb2
_symmetry_space_group_name_H-M 'P 1 m 1'
_symmetry_Int_Tables_number 6
_symmetry_space_group_name_Hall 'P -2y'
_cell_length_a 3.6594
_cell_length_b 3.6606
_cell_length_c 7.8686
_cell_angle_alpha 90.00
_cell_angle_beta 103.30
_cell_angle_gamma 90.00
loop_
_atom_site_label
_atom_site_type_symbol
_atom_site_fract_x
_atom_site_fract_y
_atom_site_fract_z
In1 In 0.0000 0.0000 0.0000
P1 P 0.4399 0.5000 0.8789
Pb1 Pb 0.2959 0.0000 0.5930
Pb2 Pb 0.6406 0.5000 0.2859
```

Model R:
A plane-wave DFT calculation with GGA-PBEsol was carried out for InPPb2 after structural relaxation.

## Properties
DOS(E_F) = 1.704 states/eV/f.u.
Crystal system = trigonal
Magnetization = 0.000 μB per atom
V = 104.9 Å³/f.u.

```
data_InPPb2
_symmetry_space_group_name_H-M 'R 3 m'
_symmetry_Int_Tables_number 160
_symmetry_space_group_name_Hall 'R 3 -2"'
_cell_length_a 3.8629
_cell_length_b 3.8629
_cell_length_c 24.3421
_cell_angle_alpha 90.00
_cell_angle_beta 90.00
_cell_angle_gamma 120.00
loop_
_atom_site_label
_atom_site_type_symbol
_atom_site_fract_x
_atom_site_fract_y
_atom_site_fract_z
In1 In 0.0000 0.0000 0.0000
P1 P 0.0000 0.0000 0.7250
Pb1 Pb 0.0000 0.0000 0.2384
Pb2 Pb 0.0000 0.0000 0.4654
```

Model S:
A plane-wave DFT calculation with GGA-PBEsol was carried out for InPPb2 after structural relaxation.

## Properties
DOS(E_F) = 2.406 states/eV/f.u.
Crystal system = cubic
Magnetization = 0.000 μB per atom
V = 99.3 Å³/f.u.

```
data_InPPb2
_symmetry_space_group_name_H-M 'F -4 3 m'
_symmetry_Int_Tables_number 216
_symmetry_space_group_name_Hall 'F -4 2 3'
_cell_length_a 7.3502
_cell_length_b 7.3502
_cell_length_c 7.3502
_cell_angle_alpha 90.00
_cell_angle_beta 90.00
_cell_angle_gamma 90.00
loop_
_atom_site_label
_atom_site_type_symbol
_atom_site_fract_x
_atom_site_fract_y
_atom_site_fract_z
In1 In 0.0000 0.0000 0.0000
P1 P 0.2500 0.2500 0.7500
Pb1 Pb 0.0000 0.0000 0.5000
Pb2 Pb 0.2500 0.2500 0.2500
```

Quick one: least stable of them? model S

Model P:
A plane-wave DFT calculation with GGA-PBEsol was carried out for InSiP2 after structural relaxation.

## Properties
DOS(E_F) = 1.700 states/eV/f.u.
Crystal system = tetragonal
Magnetization = 0.000 μB per atom
V = 71.9 Å³/f.u.

```
data_InSiP2
_symmetry_space_group_name_H-M 'I -4 m 2'
_symmetry_Int_Tables_number 119
_symmetry_space_group_name_Hall 'I -4 -2'
_cell_length_a 3.6354
_cell_length_b 3.6354
_cell_length_c 10.8822
_cell_angle_alpha 90.00
_cell_angle_beta 90.00
_cell_angle_gamma 90.00
loop_
_atom_site_label
_atom_site_type_symbol
_atom_site_fract_x
_atom_site_fract_y
_atom_site_fract_z
In1 In 0.0000 0.0000 0.0000
Si1 Si 0.0000 0.5000 0.7500
P1 P 0.0000 0.0000 0.5000
P2 P 0.0000 0.5000 0.2500
```

Model Q:
A plane-wave DFT calculation with GGA-PBEsol was carried out for InSiP2 after structural relaxation.

## Properties
DOS(E_F) = 1.734 states/eV/f.u.
Crystal system = orthorhombic
Magnetization = 0.000 μB per atom
V = 68.0 Å³/f.u.

```
data_InSiP2
_symmetry_space_group_name_H-M 'P m m m'
_symmetry_Int_Tables_number 47
_symmetry_space_group_name_Hall '-P 2 2'
_cell_length_a 3.3407
_cell_length_b 4.4455
_cell_length_c 4.5815
_cell_angle_alpha 90.00
_cell_angle_beta 90.00
_cell_angle_gamma 90.00
loop_
_atom_site_label
_atom_site_type_symbol
_atom_site_fract_x
_atom_site_fract_y
_atom_site_fract_z
In1 In 0.0000 0.0000 0.0000
Si1 Si 0.5000 0.0000 0.5000
P1 P 0.0000 0.5000 0.5000
P2 P 0.5000 0.5000 0.0000
```

Quick one: least stable of them? model Q

Model P:
A plane-wave DFT calculation with GGA-PBEsol was carried out for InTeP2 after structural relaxation.

## Properties
DOS(E_F) = 2.671 states/eV/f.u.
Crystal system = orthorhombic
Magnetization = 0.000 μB per atom
V = 86.9 Å³/f.u.

```
data_InTeP2
_symmetry_space_group_name_H-M 'P m m m'
_symmetry_Int_Tables_number 47
_symmetry_space_group_name_Hall '-P 2 2'
_cell_length_a 3.7777
_cell_length_b 3.8350
_cell_length_c 6.0013
_cell_angle_alpha 90.00
_cell_angle_beta 90.00
_cell_angle_gamma 90.00
loop_
_atom_site_label
_atom_site_type_symbol
_atom_site_fract_x
_atom_site_fract_y
_atom_site_fract_z
In1 In 0.0000 0.0000 0.0000
Te1 Te 0.0000 0.5000 0.5000
P1 P 0.5000 0.0000 0.5000
P2 P 0.5000 0.5000 0.0000
```

Model Q:
A plane-wave DFT calculation with GGA-PBEsol was carried out for InTeP2 after structural relaxation.

## Properties
DOS(E_F) = 1.454 states/eV/f.u.
Crystal system = trigonal
Magnetization = 0.000 μB per atom
V = 85.3 Å³/f.u.

```
data_InTeP2
_symmetry_space_group_name_H-M 'R -3 m'
_symmetry_Int_Tables_number 166
_symmetry_space_group_name_Hall '-R 3 2"'
_cell_length_a 3.9428
_cell_length_b 3.9428
_cell_length_c 19.0102
_cell_angle_alpha 90.00
_cell_angle_beta 90.00
_cell_angle_gamma 120.00
loop_
_atom_site_label
_atom_site_type_symbol
_atom_site_fract_x
_atom_site_fract_y
_atom_site_fract_z
In1 In 0.0000 0.0000 0.0000
Te1 Te 0.0000 0.0000 0.5000
P1 P 0.0000 0.0000 0.2519
```

Model R:
A plane-wave DFT calculation with GGA-PBEsol was carried out for InTeP2 after structural relaxation.

## Properties
DOS(E_F) = 1.137 states/eV/f.u.
Crystal system = monoclinic
Magnetization = 0.000 μB per atom
V = 92.9 Å³/f.u.

```
data_InTeP2
_symmetry_space_group_name_H-M 'P 1 2/m 1'
_symmetry_Int_Tables_number 10
_symmetry_space_group_name_Hall '-P 2y'
_cell_length_a 4.7102
_cell_length_b 3.9036
_cell_length_c 5.1842
_cell_angle_alpha 90.00
_cell_angle_beta 102.83
_cell_angle_gamma 90.00
loop_
_atom_site_label
_atom_site_type_symbol
_atom_site_fract_x
_atom_site_fract_y
_atom_site_fract_z
In1 In 0.0000 0.0000 0.0000
Te1 Te 0.5000 0.0000 0.5000
P1 P 0.3216 0.5000 0.8243
```

Quick one: least stable of them? model P

Model P:
A plane-wave DFT calculation with GGA-PBEsol was carried out for Y2InP after structural relaxation.

## Properties
DOS(E_F) = 1.919 states/eV/f.u.
Crystal system = trigonal
Magnetization = 0.000 μB per atom
V = 100.7 Å³/f.u.

```
data_Y2InP
_symmetry_space_group_name_H-M 'R -3 m'
_symmetry_Int_Tables_number 166
_symmetry_space_group_name_Hall '-R 3 2"'
_cell_length_a 3.8514
_cell_length_b 3.8514
_cell_length_c 23.5186
_cell_angle_alpha 90.00
_cell_angle_beta 90.00
_cell_angle_gamma 120.00
loop_
_atom_site_label
_atom_site_type_symbol
_atom_site_fract_x
_atom_site_fract_y
_atom_site_fract_z
Y1 Y 0.0000 0.0000 0.2343
In1 In 0.0000 0.0000 0.0000
P1 P 0.0000 0.0000 0.5000
```

Model Q:
A plane-wave DFT calculation with GGA-PBEsol was carried out for Y2InP after structural relaxation.

## Properties
DOS(E_F) = 3.432 states/eV/f.u.
Crystal system = orthorhombic
Magnetization = 0.000 μB per atom
V = 91.5 Å³/f.u.

```
data_Y2InP
_symmetry_space_group_name_H-M 'C m m m'
_symmetry_Int_Tables_number 65
_symmetry_space_group_name_Hall '-C 2 2'
_cell_length_a 4.8446
_cell_length_b 4.8611
_cell_length_c 7.7723
_cell_angle_alpha 90.00
_cell_angle_beta 90.00
_cell_angle_gamma 90.00
loop_
_atom_site_label
_atom_site_type_symbol
_atom_site_fract_x
_atom_site_fract_y
_atom_site_fract_z
Y1 Y 0.0000 0.0000 0.2098
In1 In 0.0000 0.5000 0.5000
P1 P 0.0000 0.5000 0.0000
```

Quick one: least stable of them? model Q

Model P:
A plane-wave DFT calculation with GGA-PBEsol was carried out for ZnIn2P after structural relaxation.

## Properties
DOS(E_F) = 1.271 states/eV/f.u.
Crystal system = monoclinic
Magnetization = 0.000 μB per atom
V = 84.9 Å³/f.u.

```
data_ZnIn2P
_symmetry_space_group_name_H-M 'P 1 m 1'
_symmetry_Int_Tables_number 6
_symmetry_space_group_name_Hall 'P -2y'
_cell_length_a 4.8778
_cell_length_b 3.8198
_cell_length_c 4.8944
_cell_angle_alpha 90.00
_cell_angle_beta 111.47
_cell_angle_gamma 90.00
loop_
_atom_site_label
_atom_site_type_symbol
_atom_site_fract_x
_atom_site_fract_y
_atom_site_fract_z
Zn1 Zn 0.0000 0.0000 0.0000
In1 In 0.4196 0.0000 0.5792
In2 In 0.7400 0.5000 0.2614
P1 P 0.1800 0.5000 0.8215
```

Model Q:
A plane-wave DFT calculation with GGA-PBEsol was carried out for ZnIn2P after structural relaxation.

## Properties
DOS(E_F) = 1.435 states/eV/f.u.
Crystal system = tetragonal
Magnetization = 0.000 μB per atom
V = 83.1 Å³/f.u.

```
data_ZnIn2P
_symmetry_space_group_name_H-M 'I -4 m 2'
_symmetry_Int_Tables_number 119
_symmetry_space_group_name_Hall 'I -4 -2'
_cell_length_a 3.8715
_cell_length_b 3.8715
_cell_length_c 11.0895
_cell_angle_alpha 90.00
_cell_angle_beta 90.00
_cell_angle_gamma 90.00
loop_
_atom_site_label
_atom_site_type_symbol
_atom_site_fract_x
_atom_site_fract_y
_atom_site_fract_z
Zn1 Zn 0.0000 0.0000 0.0000
In1 In 0.0000 0.0000 0.5000
In2 In 0.0000 0.5000 0.2500
P1 P 0.0000 0.5000 0.7500
```

Quick one: least stable of them? model Q

Model P:
A plane-wave DFT calculation with GGA-PBEsol was carried out for ZrInP after structural relaxation.

## Properties
DOS(E_F) = 1.660 states/eV/f.u.
Crystal system = tetragonal
Magnetization = 0.000 μB per atom
V = 62.2 Å³/f.u.

```
data_ZrInP
_symmetry_space_group_name_H-M 'I 4 m m'
_symmetry_Int_Tables_number 107
_symmetry_space_group_name_Hall 'I 4 -2'
_cell_length_a 3.4863
_cell_length_b 3.4863
_cell_length_c 10.2298
_cell_angle_alpha 90.00
_cell_angle_beta 90.00
_cell_angle_gamma 90.00
loop_
_atom_site_label
_atom_site_type_symbol
_atom_site_fract_x
_atom_site_fract_y
_atom_site_fract_z
Zr1 Zr 0.0000 0.0000 0.0000
In1 In 0.0000 0.0000 0.2961
P1 P 0.0000 0.0000 0.5716
```

Model Q:
A plane-wave DFT calculation with GGA-PBEsol was carried out for ZrInP after structural relaxation.

## Properties
DOS(E_F) = 2.948 states/eV/f.u.
Crystal system = trigonal
Magnetization = 0.000 μB per atom
V = 64.6 Å³/f.u.

```
data_ZrInP
_symmetry_space_group_name_H-M 'P 3 m 1'
_symmetry_Int_Tables_number 156
_symmetry_space_group_name_Hall 'P 3 -2"'
_cell_length_a 3.6137
_cell_length_b 3.6137
_cell_length_c 5.7157
_cell_angle_alpha 90.00
_cell_angle_beta 90.00
_cell_angle_gamma 120.00
loop_
_atom_site_label
_atom_site_type_symbol
_atom_site_fract_x
_atom_site_fract_y
_atom_site_fract_z
Zr1 Zr 0.0000 0.0000 0.0000
In1 In 0.3333 0.6667 0.5932
P1 P 0.6667 0.3333 0.2497
```

Quick one: least stable of them? model Q